--- P ---
Material: Dy4ZnIr2
Method: DFT, GGA-PBE
State: optimized geometry

abc: 8.3918 8.3918 8.3918
angles: 33.74 33.74 33.74
Last column: nearest neighbours and their distance in Å.
Sites, in units of the cell vectors:
Dy1 0.1209 0.1209 0.1209  4 Ir 2.94-3.02, 3 Zn 3.01
Dy2 0.3721 0.3721 0.3721  4 Ir 2.93-3.02, 1 Zn 3.03
Dy3 0.6279 0.6279 0.6279  4 Ir 2.93-3.02, 1 Zn 3.03
Dy4 0.8791 0.8791 0.8791  4 Ir 2.94-3.02, 3 Zn 3.01
Zn1 0.5000 0.5000 0.5000  8 Dy 3.01-3.03
Ir1 0.2484 0.2484 0.2484  8 Dy 2.93-3.02
Ir2 0.7516 0.7516 0.7516  8 Dy 2.93-3.02

Values from the calculation:
- Symmetry: R-3m (166)
- DOS at the Fermi energy: 0.914 states/eV/atom

---

--- Q ---
Material: Dy4ZnIr2
Method: DFT, GGA-PBE
State: optimized geometry

abc: 9.7968 9.7968 9.7968
angles: 27.33 27.33 27.33
Last column: nearest neighbours and their distance in Å.
Sites, in units of the cell vectors:
Dy1 0.1136 0.1136 0.1136  3 Ir 2.90, 3 Zn 3.07
Dy2 0.2969 0.2969 0.2969  4 Ir 2.87-3.12
Dy3 0.7031 0.7031 0.7031  4 Ir 2.87-3.12
Dy4 0.8864 0.8864 0.8864  3 Ir 2.90, 3 Zn 3.07
Zn1 0.5000 0.5000 0.5000  2 Ir 2.63
Ir1 0.4071 0.4071 0.4071  1 Zn 2.63, 6 Dy 2.87-2.90
Ir2 0.5929 0.5929 0.5929  1 Zn 2.63, 6 Dy 2.87-2.90

Values from the calculation:
- Symmetry: R-3m (166)
- DOS at the Fermi energy: 0.747 states/eV/atom

---

Quick one: most stable of them? P

---

--- P ---
Material: KDyTiO4
Method: DFT, GGA-PBE
State: optimized geometry

abc: 5.9241 6.0100 7.4603
angles: 90.00 108.19 90.00
Last column: nearest neighbours and their distance in Å.
Sites, in units of the cell vectors:
K1 0.1855 0.2500 0.4304  2 O 2.59-2.67
K2 0.8145 0.7500 0.5696  2 O 2.59-2.67
Dy1 0.3133 0.2500 0.9575  6 O 2.25-2.39
Dy2 0.6867 0.7500 0.0425  6 O 2.25-2.39
Ti1 0.2277 0.7500 0.1608  4 O 1.78-1.87
Ti2 0.7723 0.2500 0.8392  4 O 1.78-1.87
O1 0.0127 0.7500 0.9321  1 Ti 1.78
O2 0.0236 0.7500 0.3005  1 Ti 1.83
O3 0.4458 0.5224 0.1717  1 Ti 1.87
O4 0.4458 0.9776 0.1717  1 Ti 1.87
O5 0.5542 0.0224 0.8283  1 Ti 1.87
O6 0.5542 0.4776 0.8283  1 Ti 1.87
O7 0.9764 0.2500 0.6995  1 Ti 1.83
O8 0.9873 0.2500 0.0679  1 Ti 1.78

Values from the calculation:
- Symmetry: P2_1/m (11)
- DOS at the Fermi energy: 0.000 states/eV/atom

---

--- Q ---
Material: KDyTiO4
Method: DFT, GGA-PBE
State: optimized geometry

abc: 13.0148 5.5129 5.4029
angles: 90.00 90.00 90.00
Last column: nearest neighbours and their distance in Å.
Sites, in units of the cell vectors:
K1 0.0959 0.0209 0.2500  7 O 2.71-2.96
K2 0.0959 0.4791 0.7500  7 O 2.71-2.96
K3 0.9041 0.5209 0.2500  7 O 2.71-2.96
K4 0.9041 0.9791 0.7500  7 O 2.71-2.96
Dy1 0.3991 0.0274 0.2500  4 O 2.17-2.40
Dy2 0.3991 0.4726 0.7500  4 O 2.17-2.40
Dy3 0.6009 0.5274 0.2500  4 O 2.17-2.40
Dy4 0.6009 0.9726 0.7500  4 O 2.17-2.40
Ti1 0.2565 0.5075 0.2500  3 O 1.77-1.97
Ti2 0.2565 0.9925 0.7500  3 O 1.77-1.97
Ti3 0.7435 0.0075 0.2500  3 O 1.77-1.97
Ti4 0.7435 0.4925 0.7500  3 O 1.77-1.97
O1 0.1213 0.5337 0.2500  1 Ti 1.77
O2 0.1213 0.9663 0.7500  1 Ti 1.77
O3 0.2735 0.2500 0.0000  2 Ti 1.97
O4 0.2735 0.2500 0.5000  2 Ti 1.97
O5 0.3021 0.7500 0.0000  2 Ti 1.99
O6 0.3021 0.7500 0.5000  2 Ti 1.99
O7 0.4398 0.0750 0.7500  2 Dy 2.17-2.26, 1 Ti 2.43
O8 0.4398 0.4250 0.2500  2 Dy 2.17-2.26, 1 Ti 2.43
O9 0.5602 0.5750 0.7500  2 Dy 2.17-2.26, 1 Ti 2.43
O10 0.5602 0.9250 0.2500  2 Dy 2.17-2.26, 1 Ti 2.43
O11 0.6979 0.2500 0.0000  2 Ti 1.99
O12 0.6979 0.2500 0.5000  2 Ti 1.99
O13 0.7265 0.7500 0.0000  2 Ti 1.97
O14 0.7265 0.7500 0.5000  2 Ti 1.97
O15 0.8787 0.0337 0.2500  1 Ti 1.77
O16 0.8787 0.4663 0.7500  1 Ti 1.77

Values from the calculation:
- Symmetry: Pbcm (57)
- DOS at the Fermi energy: 0.000 states/eV/atom

---

Quick one: most stable of them? Q

---

--- P ---
Material: KDySb2
Method: DFT, GGA-PBE
State: optimized geometry

abc: 9.8957 9.8957 9.8957
angles: 23.37 23.37 23.37
Last column: nearest neighbours and their distance in Å.
Sites, in units of the cell vectors:
K1 0.0000 0.0000 0.0000  6 Sb 3.54
Dy1 0.5000 0.5000 0.5000  6 Sb 3.14
Sb1 0.2404 0.2404 0.2404  3 Dy 3.14
Sb2 0.7596 0.7596 0.7596  3 Dy 3.14

Values from the calculation:
- Symmetry: R-3m (166)
- DOS at the Fermi energy: 0.717 states/eV/atom

---

--- Q ---
Material: KDySb2
Method: DFT, GGA-PBE
State: optimized geometry

abc: 4.1080 4.1080 7.6319
angles: 90.00 90.00 90.00
Last column: nearest neighbours and their distance in Å.
Sites, in units of the cell vectors:
K1 0.0000 0.0000 0.0000  8 Sb 3.73, 2 Dy 3.82, 4 K 4.11
Dy1 0.0000 0.0000 0.5000  8 Sb 3.26
Sb1 0.5000 0.5000 0.3056  1 Sb 2.97, 4 Dy 3.26
Sb2 0.5000 0.5000 0.6944  1 Sb 2.97, 4 Dy 3.26

Values from the calculation:
- Symmetry: P4/mmm (123)
- DOS at the Fermi energy: 0.461 states/eV/atom

---

Quick one: most stable of them? Q

---

--- P ---
Material: La5Dy2
Method: DFT, GGA-PBE
State: optimized geometry

abc: 9.0247 9.0247 9.0247
angles: 37.87 37.87 37.87
Last column: nearest neighbours and their distance in Å.
Sites, in units of the cell vectors:
La1 0.0000 0.0000 0.0000  6 La 3.51
La2 0.2964 0.2964 0.2964  7 La 3.42-3.73, 1 Dy 3.51
La3 0.4325 0.4325 0.4325  5 La 3.39-3.73, 3 Dy 3.68
La4 0.5675 0.5675 0.5675  5 La 3.39-3.73, 3 Dy 3.68
La5 0.7036 0.7036 0.7036  7 La 3.42-3.73, 1 Dy 3.51
Dy1 0.1566 0.1566 0.1566  3 Dy 3.42, 4 La 3.51-3.68
Dy2 0.8434 0.8434 0.8434  3 Dy 3.42, 4 La 3.51-3.68

Values from the calculation:
- Symmetry: R-3m (166)
- DOS at the Fermi energy: 2.136 states/eV/atom

---

--- Q ---
Material: La5Dy2
Method: DFT, GGA-PBE
State: optimized geometry

abc: 5.7990 5.7990 9.2132
angles: 110.20 110.20 61.60
Last column: nearest neighbours and their distance in Å.
Sites, in units of the cell vectors:
La1 0.0000 0.0000 0.0000  6 Dy 3.50-3.53
La2 0.1615 0.1615 0.4710  6 La 3.38-3.74, 1 Dy 3.49
La3 0.4263 0.4263 0.2876  4 Dy 3.41-3.69, 5 La 3.58-3.80
La4 0.5737 0.5737 0.7124  4 Dy 3.41-3.69, 5 La 3.58-3.80
La5 0.8385 0.8385 0.5290  6 La 3.38-3.74, 1 Dy 3.49
Dy1 0.2979 0.2979 0.8848  8 La 3.41-3.69, 1 Dy 3.72
Dy2 0.7021 0.7021 0.1152  8 La 3.41-3.69, 1 Dy 3.72

Values from the calculation:
- Symmetry: C2/m (12)
- DOS at the Fermi energy: 1.808 states/eV/atom

---

Quick one: most stable of them? Q

---

--- P ---
Material: La2Dy
Method: DFT, GGA-PBE
State: optimized geometry

abc: 18.2095 18.2095 18.2095
angles: 11.58 11.58 11.58
Last column: nearest neighbours and their distance in Å.
Sites, in units of the cell vectors:
La1 0.1381 0.1381 0.1381  3 Dy 3.64, 9 La 3.67-3.75
La2 0.3037 0.3037 0.3037  3 Dy 3.61, 9 La 3.67-3.85
La3 0.6963 0.6963 0.6963  3 Dy 3.61, 9 La 3.67-3.85
La4 0.8619 0.8619 0.8619  3 Dy 3.64, 9 La 3.67-3.75
Dy1 0.4169 0.4169 0.4169  6 La 3.61-3.64, 6 Dy 3.67
Dy2 0.5831 0.5831 0.5831  6 La 3.61-3.64, 6 Dy 3.67

Values from the calculation:
- Symmetry: R-3m (166)
- DOS at the Fermi energy: 1.620 states/eV/atom

---

--- Q ---
Material: La2Dy
Method: DFT, GGA-PBE
State: optimized geometry

abc: 6.7151 6.7151 6.7151
angles: 60.00 60.00 60.00
Last column: nearest neighbours and their distance in Å.
Sites, in units of the cell vectors:
La1 0.0000 0.0000 0.0000  6 La 3.36
La2 0.0000 0.0000 0.5000  6 La 3.36
La3 0.0000 0.5000 0.0000  6 La 3.36
La4 0.5000 0.0000 0.0000  6 La 3.36
Dy1 0.3750 0.3750 0.3750  12 La 3.94, 4 Dy 4.11
Dy2 0.6250 0.6250 0.6250  12 La 3.94, 4 Dy 4.11

Values from the calculation:
- Symmetry: Fd-3m (227)
- DOS at the Fermi energy: 1.949 states/eV/atom

---

Quick one: most stable of them? P

---

--- P ---
Material: La4Dy
Method: DFT, GGA-PBE
State: optimized geometry

abc: 13.2176 13.2176 13.2176
angles: 163.85 163.85 22.91
Last column: nearest neighbours and their distance in Å.
Sites, in units of the cell vectors:
La1 0.0972 0.0972 0.0000  4 Dy 3.64, 8 La 3.71
La2 0.3019 0.3019 0.0000  12 La 3.71-3.76
La3 0.6981 0.6981 0.0000  12 La 3.71-3.76
La4 0.9028 0.9028 0.0000  4 Dy 3.64, 8 La 3.71
Dy1 0.5000 0.5000 0.0000  8 La 3.64, 4 Dy 3.71

Values from the calculation:
- Symmetry: I4/mmm (139)
- DOS at the Fermi energy: 1.920 states/eV/atom

---

--- Q ---
Material: La4Dy
Method: DFT, GGA-PBE
State: optimized geometry

abc: 5.9411 5.9411 5.9411
angles: 90.00 90.00 90.00
Last column: nearest neighbours and their distance in Å.
Sites, in units of the cell vectors:
La1 0.0000 0.0000 0.0000  12 La 4.20
La2 0.0000 0.5000 0.5000  2 Dy 2.97
La3 0.5000 0.0000 0.5000  2 Dy 2.97
La4 0.5000 0.5000 0.0000  2 Dy 2.97
Dy1 0.5000 0.5000 0.5000  6 La 2.97

Values from the calculation:
- Symmetry: Pm-3m (221)
- DOS at the Fermi energy: 1.911 states/eV/atom

---

--- R ---
Material: La4Dy
Method: DFT, GGA-PBE
State: optimized geometry

abc: 7.1430 7.1430 7.1430
angles: 94.07 94.07 149.12
Last column: nearest neighbours and their distance in Å.
Sites, in units of the cell vectors:
La1 0.0903 0.2887 0.3789  2 Dy 3.51, 8 La 3.69-3.80
La2 0.2887 0.9097 0.1984  2 Dy 3.51, 8 La 3.69-3.80
La3 0.7113 0.0903 0.8016  2 Dy 3.51, 8 La 3.69-3.80
La4 0.9097 0.7113 0.6211  2 Dy 3.51, 8 La 3.69-3.80
Dy1 0.5000 0.5000 0.0000  8 La 3.51, 2 Dy 3.80

Values from the calculation:
- Symmetry: I4/m (87)
- DOS at the Fermi energy: 2.134 states/eV/atom

---

Quick one: most stable of them? P